# 1
Density functional theory data (PBE) for a relaxed LiMn2In crystal.

Cell lengths 9.4722, 9.4722, 9.4722 Å; angles 18.08, 18.08, 18.08 degrees
Element x y z (fractional)
Li (0.0000, 0.0000, 0.0000)
Mn (0.2519, 0.2519, 0.2519)
Mn (0.7481, 0.7481, 0.7481)
In (0.5000, 0.5000, 0.5000)

Calculated values
The value obtained for the calculated volume is 17.88 A^3/atom. The calculation puts the theoretical density at 5.38 g/cm3. Its formation enthalpy at 0 K is 0.4521 eV/atom. The density of states at the Fermi level is 1.19 states/eV per atom. As for the total energy: -5.296 eV per atom.

# 2
Density functional theory data (PBE) for a relaxed Li2MnIn crystal.

Cell lengths 5.9081, 5.9081, 5.9081 Å; angles 102.28, 102.28, 125.08 degrees
Element x y z (fractional)
Li (0.1158, 0.6250, 0.9908)
Li (0.3750, 0.3658, 0.4908)
Li (0.6342, 0.1250, 0.0092)
Li (0.8750, 0.8842, 0.5092)
Mn (0.0000, 0.0000, 0.0000)
Mn (0.7500, 0.2500, 0.5000)
In (0.2500, 0.7500, 0.5000)
In (0.5000, 0.5000, 0.0000)

Calculated values
The value obtained for the calculated volume is 18.72 A^3/atom. The calculation puts the theoretical density at 4.07 g/cm3. Its formation enthalpy at 0 K is 0.2752 eV/atom. The density of states at the Fermi level is 0.52 states/eV per atom. As for the total energy: -3.659 eV per atom.

# 3
Density functional theory data (PBE) for a relaxed LiMn2In crystal.

Cell lengths 3.2223, 3.2223, 6.2580 Å; angles 90.00, 90.00, 90.00 degrees
Element x y z (fractional)
Li (0.0000, 0.0000, 0.0000)
Mn (0.5000, 0.5000, 0.2223)
Mn (0.5000, 0.5000, 0.7777)
In (0.0000, 0.0000, 0.5000)

Calculated values
The value obtained for the calculated volume is 16.24 A^3/atom. The calculation puts the theoretical density at 5.92 g/cm3. Its formation enthalpy at 0 K is 0.3175 eV/atom. The density of states at the Fermi level is 0.83 states/eV per atom. As for the total energy: -5.430 eV per atom.